A relaxed YAl2 crystal. Source: Alexandria, functional PBE-GGA.

Values from the calculation:
DFT formation energy	-52	kJ/mol of atoms
ρ	3.882	g/cm³

Cell lengths 5.5704, 5.5704, 5.5704 Å; angles 60.00, 60.00, 60.00 degrees
Fractional coordinates of all 6 atoms:
Y 0.1250 0.1250 0.1250
Y 0.8750 0.8750 0.8750
Al 0.0000 0.5000 0.5000
Al 0.5000 0.0000 0.5000
Al 0.5000 0.5000 0.0000
Al 0.5000 0.5000 0.5000